Entry 1:
Tb2ZrCo2: optimized geometry, PBE.

Unit cell a=10.130 b=5.913 c=7.108 alpha=90.00 beta=101.26 gamma=90.00
Space group C2/c (No. 15)
Unique sites:
Tb  0.151  0.114  0.148 (multiplicity 8)
Zr  0.000  0.413  0.750 (multiplicity 4)
Co  0.151  0.344  0.503 (multiplicity 8)

=====

Entry 2:
TbZrCo2: optimized geometry, PBE.

Unit cell a=3.244 b=3.244 c=6.633 alpha=90.00 beta=90.00 gamma=90.00
Space group P4/mmm (No. 123)
Unique sites:
Tb  0.000  0.000  0.000 (multiplicity 1)
Zr  0.000  0.000  0.500 (multiplicity 1)
Co  0.500  0.500  0.279 (multiplicity 2)

=====

Going through the records in order, we get E_tot values of -6.6324, -7.0682 eV per atom.
Going through the records in order, we get DFT formation energy values of -228, -221 meV per atom.